# 1
The following is a DFT calculation (GGA-PBE) of Tl2RuSeI after structural relaxation.

Computed properties:
ΔE_f (raw): 344 meV per atom
Calculated total energy: -3.465 eV/atom
Spin magnetization: 0.00 μB/f.u.
Crystal system: tetragonal
Density of states at the Fermi level: 5.632 states/eV/f.u.

a b c (Å): 5.4341 5.4341 5.0090
angles (deg): 90.00 90.00 90.00
Sites, in units of the cell vectors:
Tl1 0.0000 0.5000 0.0000
Tl2 0.5000 0.0000 0.0000
Ru1 0.0000 0.0000 0.0000
Se1 0.5000 0.5000 0.5000
I1 0.0000 0.0000 0.5000



# 2
The following is a DFT calculation (GGA-PBE) of Ru2WSeI after structural relaxation.

Computed properties:
ΔE_f (raw): 2566 meV per atom
Calculated total energy: -4.742 eV/atom
Spin magnetization: 0.00 μB/f.u.
Crystal system: tetragonal
Density of states at the Fermi level: 15.087 states/eV/f.u.

a b c (Å): 4.7154 4.7154 5.1980
angles (deg): 90.00 90.00 90.00
Sites, in units of the cell vectors:
Ru1 0.0000 0.5000 0.0000
Ru2 0.5000 0.0000 0.0000
W1 0.0000 0.0000 0.5000
Se1 0.5000 0.5000 0.5000
I1 0.5000 0.5000 0.0000